This record from Alexandria via LeMat-Bulk describes a geometry-optimized TaSi2Ag structure. The functional is GGA-PBE.

Unit cell a=2.9406 b=2.9406 c=26.2722 alpha=90.00 beta=90.00 gamma=120.00
Space group R-3m (No. 166, hexagonal axes)
Asymmetric unit:
Ta: 0.0000 0.0000 0.0000 (multiplicity 3)
Si: 0.0000 0.0000 0.2521 (multiplicity 6)
Ag: 0.0000 0.0000 0.5000 (multiplicity 3)

Properties
For the calculated total energy, the calculation gives -75.4 eV for the cell shown. The total magnetization is 0.000 μB/atom. The calculation puts the uncorrected formation energy at 107 meV/atom.

This record from Alexandria via LeMat-Bulk describes a geometry-optimized TaSiAg structure. The functional is GGA-PBE.

Unit cell a=2.796 b=3.439 c=10.471 alpha=90.00 beta=90.00 gamma=90.00
Space group Imm2 (No. 44)
Asymmetric unit:
Ta: 0.000 0.000 0.000 (multiplicity 2)
Si: 0.000 0.000 0.360 (multiplicity 2)
Ag: 0.000 0.000 0.695 (multiplicity 2)

Properties
For the calculated total energy, the calculation gives -39.1 eV for the cell shown. The total magnetization is 0.000 μB/atom. The calculation puts the uncorrected formation energy at 198 meV/atom.